10
Lattice="7.177 -2.415 0.000 7.177 2.415 0.000 -6.096 0.000 11.142" Properties=species:S:1:pos:R:3 comment="Cs2Sb2Pd (PBE, relaxed)" crystal_system=monoclinic dos_at_fermi_per_ev_cell=3.77 raw_formation_energy_ev_per_atom=-0.40 e_tot_ev_per_cell=-34.29 pbc="T T T"
Cs -0.598 0.000 1.860
Cs -0.798 0.000 6.763
Cs 9.057 0.000 4.379
Cs 8.857 0.000 9.282
Sb -1.772 0.000 10.334
Sb 4.757 0.000 4.286
Sb 3.502 0.000 6.856
Sb 10.031 0.000 0.808
Pd 3.706 0.000 1.791
Pd 4.553 0.000 9.351